Entry 1:
# MnTlIr2 | the Alexandria database | PBE | optimized geometry
# - DFT formation energy (eV/f.u.) = 1.274
data_MnTlIr2
_chemical_formula_sum 'Mn1 Tl1 Ir2'
_cell_length_a 2.8894
_cell_length_b 3.8918
_cell_length_c 5.8505
_cell_angle_alpha 90.00
_cell_angle_beta 90.00
_cell_angle_gamma 90.00
_space_group_name_H-M_alt 'P m m 2'
_space_group_IT_number 25
loop_
_space_group_symop_operation_xyz
'x,y,z'
'-x,-y,z'
'-x,y,z'
'x,-y,z'
loop_
_atom_site_label
_atom_site_fract_x
_atom_site_fract_y
_atom_site_fract_z
_atom_site_occupancy
Mn1 0.0000 0.0000 0.0000 1
Tl1 0.5000 0.5000 0.3024 1
Ir1 0.0000 0.0000 0.5691 1
Ir2 0.5000 0.5000 0.8161 1

Entry 2:
# MnTl4Ir | the Alexandria database | PBE | optimized geometry
# - DFT formation energy (eV/f.u.) = 6.223
data_MnTl4Ir
_chemical_formula_sum 'Mn4 Tl16 Ir4'
_cell_length_a 8.5567
_cell_length_b 8.5567
_cell_length_c 8.5567
_cell_angle_alpha 90.00
_cell_angle_beta 90.00
_cell_angle_gamma 90.00
_space_group_name_H-M_alt 'F -4 3 m'
_space_group_IT_number 216
_space_group_name_Hall 'F -4 2 3'
loop_
_atom_site_label
_atom_site_fract_x
_atom_site_fract_y
_atom_site_fract_z
_atom_site_occupancy
Mn1 0.0000 0.0000 0.0000 1
Tl1 0.1245 0.1245 0.6245 1
Ir1 0.2500 0.2500 0.2500 1

Entry 3:
# MnTlIr2 | the Alexandria database | PBE | optimized geometry
# - DFT formation energy (eV/f.u.) = 1.831
data_MnTlIr2
_chemical_formula_sum 'Mn1 Tl1 Ir2'
_cell_length_a 2.9803
_cell_length_b 4.5693
_cell_length_c 4.8196
_cell_angle_alpha 90.00
_cell_angle_beta 90.00
_cell_angle_gamma 90.00
_space_group_name_H-M_alt 'P m m m'
_space_group_IT_number 47
loop_
_space_group_symop_operation_xyz
'x,y,z'
'-x,-y,-z'
'-x,-y,z'
'x,y,-z'
'x,-y,-z'
'-x,y,z'
'-x,y,-z'
'x,-y,z'
loop_
_atom_site_label
_atom_site_fract_x
_atom_site_fract_y
_atom_site_fract_z
_atom_site_occupancy
Mn1 0.0000 0.0000 0.0000 1
Tl1 0.5000 0.0000 0.5000 1
Ir1 0.0000 0.5000 0.5000 1
Ir2 0.5000 0.5000 0.0000 1

Entry 4:
# MnTl2IrW | the Alexandria database | PBE | optimized geometry
# - DFT formation energy (eV/f.u.) = 9.332
data_MnTl2IrW
_chemical_formula_sum 'Mn1 Tl2 Ir1 W1'
_cell_length_a 5.1327
_cell_length_b 5.1327
_cell_length_c 4.8417
_cell_angle_alpha 90.00
_cell_angle_beta 90.00
_cell_angle_gamma 90.00
_space_group_name_H-M_alt 'P 4/m m m'
_space_group_IT_number 123
_space_group_name_Hall '-P 4 2'
loop_
_atom_site_label
_atom_site_fract_x
_atom_site_fract_y
_atom_site_fract_z
_atom_site_occupancy
Mn1 0.0000 0.0000 0.0000 1
Tl1 0.0000 0.5000 0.5000 1
Ir1 0.5000 0.5000 0.5000 1
W1 0.5000 0.5000 0.0000 1

Entry 5:
# Y2MnTlIr | the Alexandria database | PBE | optimized geometry
# - DFT formation energy (eV/f.u.) = 2.883
data_Y2MnTlIr
_chemical_formula_sum 'Y2 Mn1 Tl1 Ir1'
_cell_length_a 5.0024
_cell_length_b 5.0024
_cell_length_c 4.8851
_cell_angle_alpha 90.00
_cell_angle_beta 90.00
_cell_angle_gamma 90.00
_space_group_name_H-M_alt 'P 4/m m m'
_space_group_IT_number 123
_space_group_name_Hall '-P 4 2'
loop_
_atom_site_label
_atom_site_fract_x
_atom_site_fract_y
_atom_site_fract_z
_atom_site_occupancy
Y1 0.0000 0.5000 0.0000 1
Mn1 0.0000 0.0000 0.0000 1
Tl1 0.0000 0.0000 0.5000 1
Ir1 0.5000 0.5000 0.5000 1

Entry 6:
# TmMnIr2 | the Alexandria database | PBE | optimized geometry
# - DFT formation energy (eV/f.u.) = -1.271
data_TmMnIr2
_chemical_formula_sum 'Tm3 Mn3 Ir6'
_cell_length_a 4.3266
_cell_length_b 4.3266
_cell_length_c 13.4246
_cell_angle_alpha 90.00
_cell_angle_beta 90.00
_cell_angle_gamma 120.00
_space_group_name_H-M_alt 'R -3 m'
_space_group_IT_number 166
_space_group_name_Hall '-R 3 2"'
loop_
_atom_site_label
_atom_site_fract_x
_atom_site_fract_y
_atom_site_fract_z
_atom_site_occupancy
Tm1 0.0000 0.0000 0.0000 1
Mn1 0.0000 0.0000 0.5000 1
Ir1 0.0000 0.0000 0.2123 1

Entry 7:
# TmMnIr2 | the Alexandria database | PBE | optimized geometry
# - DFT formation energy (eV/f.u.) = -1.610
data_TmMnIr2
_chemical_formula_sum 'Tm4 Mn4 Ir8'
_cell_length_a 6.4550
_cell_length_b 6.4550
_cell_length_c 6.4550
_cell_angle_alpha 90.00
_cell_angle_beta 90.00
_cell_angle_gamma 90.00
_space_group_name_H-M_alt 'F m -3 m'
_space_group_IT_number 225
_space_group_name_Hall '-F 4 2 3'
loop_
_atom_site_label
_atom_site_fract_x
_atom_site_fract_y
_atom_site_fract_z
_atom_site_occupancy
Tm1 0.0000 0.0000 0.0000 1
Mn1 0.0000 0.0000 0.5000 1
Ir1 0.2500 0.2500 0.2500 1

Entry 8:
# TmMnIr | the Alexandria database | PBE | optimized geometry
# - DFT formation energy (eV/f.u.) = -1.722
data_TmMnIr
_chemical_formula_sum 'Tm4 Mn4 Ir4'
_cell_length_a 5.1349
_cell_length_b 5.5014
_cell_length_c 7.2582
_cell_angle_alpha 90.00
_cell_angle_beta 90.00
_cell_angle_gamma 90.00
_space_group_name_H-M_alt 'I m m a'
_space_group_IT_number 74
_space_group_name_Hall '-I 2b 2'
loop_
_atom_site_label
_atom_site_fract_x
_atom_site_fract_y
_atom_site_fract_z
_atom_site_occupancy
Tm1 0.0000 0.2500 0.1246 1
Mn1 0.2500 0.2500 0.7500 1
Ir1 0.0000 0.0000 0.5000 1

Entry 9:
# UMnIr | the Alexandria database | PBE | optimized geometry
# - DFT formation energy (eV/f.u.) = -1.086
data_UMnIr
_chemical_formula_sum 'U4 Mn4 Ir4'
_cell_length_a 9.9070
_cell_length_b 5.5806
_cell_length_c 3.7121
_cell_angle_alpha 90.00
_cell_angle_beta 98.74
_cell_angle_gamma 90.00
_space_group_name_H-M_alt 'C 1 2/m 1'
_space_group_IT_number 12
loop_
_space_group_symop_operation_xyz
'x,y,z'
'-x,-y,-z'
'-x,y,-z'
'x,-y,z'
'x+1/2,y+1/2,z'
'-x+1/2,-y+1/2,-z'
'-x+1/2,y+1/2,-z'
'x+1/2,-y+1/2,z'
loop_
_atom_site_label
_atom_site_fract_x
_atom_site_fract_y
_atom_site_fract_z
_atom_site_occupancy
U1 0.1859 0.0000 0.1515 1
Mn1 0.1291 0.5000 0.0494 1
Ir1 0.0000 0.2521 0.5000 1

Entry 10:
# UMnIr | the Alexandria database | PBE | optimized geometry
# - DFT formation energy (eV/f.u.) = -0.133
data_UMnIr
_chemical_formula_sum 'U1 Mn1 Ir1'
_cell_length_a 4.2393
_cell_length_b 4.2393
_cell_length_c 3.5686
_cell_angle_alpha 90.00
_cell_angle_beta 90.00
_cell_angle_gamma 120.00
_space_group_name_H-M_alt 'P -6 m 2'
_space_group_IT_number 187
_space_group_name_Hall 'P -6 2'
loop_
_atom_site_label
_atom_site_fract_x
_atom_site_fract_y
_atom_site_fract_z
_atom_site_occupancy
U1 0.0000 0.0000 0.0000 1
Mn1 0.3333 0.6667 0.5000 1
Ir1 0.6667 0.3333 0.5000 1

Entry 11:
# UMnIr | the Alexandria database | PBE | optimized geometry
# - DFT formation energy (eV/f.u.) = -0.300
data_UMnIr
_chemical_formula_sum 'U2 Mn2 Ir2'
_cell_length_a 3.6880
_cell_length_b 3.6880
_cell_length_c 7.7339
_cell_angle_alpha 90.00
_cell_angle_beta 90.00
_cell_angle_gamma 90.00
_space_group_name_H-M_alt 'I 4 m m'
_space_group_IT_number 107
_space_group_name_Hall 'I 4 -2'
loop_
_atom_site_label
_atom_site_fract_x
_atom_site_fract_y
_atom_site_fract_z
_atom_site_occupancy
U1 0.0000 0.0000 0.0000 1
Mn1 0.0000 0.0000 0.2804 1
Ir1 0.0000 0.0000 0.6582 1

Entry 12:
# U2MnIr9 | the Alexandria database | PBE | optimized geometry
# - DFT formation energy (eV/f.u.) = -5.435
data_U2MnIr9
_chemical_formula_sum 'U2 Mn1 Ir9'
_cell_length_a 3.9982
_cell_length_b 3.9982
_cell_length_c 11.9084
_cell_angle_alpha 90.00
_cell_angle_beta 90.00
_cell_angle_gamma 90.00
_space_group_name_H-M_alt 'P 4/m m m'
_space_group_IT_number 123
_space_group_name_Hall '-P 4 2'
loop_
_atom_site_label
_atom_site_fract_x
_atom_site_fract_y
_atom_site_fract_z
_atom_site_occupancy
U1 0.0000 0.0000 0.1737 1
Mn1 0.0000 0.0000 0.5000 1
Ir1 0.0000 0.5000 0.0000 1
Ir2 0.0000 0.5000 0.3409 1
Ir3 0.5000 0.5000 0.1702 1
Ir4 0.5000 0.5000 0.5000 1